(1)
! PBE Tl4AgHg3, relaxed; values from VASP
&SYSTEM
  ibrav = 0, nat = 8, ntyp = 3
/
ATOMIC_SPECIES
Tl 204.38 Tl.upf
Ag 107.87 Ag.upf
Hg 200.59 Hg.upf
ATOMIC_POSITIONS crystal
Tl 0.0000 0.0000 0.1088
Tl 0.0000 0.0000 0.3700
Tl 0.0000 0.0000 0.6300
Tl 0.0000 0.0000 0.8912
Ag 0.5000 0.5000 0.0000
Hg 0.5000 0.5000 0.2402
Hg 0.5000 0.5000 0.5000
Hg 0.5000 0.5000 0.7598
CELL_PARAMETERS angstrom
3.5869 0.0000 0.0000
0.0000 3.5869 0.0000
0.0000 0.0000 17.1798
! Energy of formation from the pure elements (eV/f.u.): 0.22
! Volume (Å³ per cell): 221.0
! Spin magnetization (μB per atom): 0.00
! Final energy (eV/f.u.): -13.001

(2)
! PBE Tl3AgHg6, relaxed; values from VASP
&SYSTEM
  ibrav = 0, nat = 20, ntyp = 3
/
ATOMIC_SPECIES
Tl 204.38 Tl.upf
Ag 107.87 Ag.upf
Hg 200.59 Hg.upf
ATOMIC_POSITIONS crystal
Tl 0.0594 0.2500 0.4044
Tl 0.1218 0.7500 0.2275
Tl 0.3076 0.2500 0.0061
Tl 0.6924 0.7500 0.9939
Tl 0.8782 0.2500 0.7725
Tl 0.9406 0.7500 0.5956
Ag 0.4687 0.2500 0.5648
Ag 0.5313 0.7500 0.4352
Hg 0.0390 0.7500 0.9311
Hg 0.1963 0.2500 0.6835
Hg 0.2718 0.7500 0.5320
Hg 0.3201 0.7500 0.8321
Hg 0.3723 0.2500 0.3091
Hg 0.4508 0.7500 0.1749
Hg 0.5492 0.2500 0.8251
Hg 0.6277 0.7500 0.6909
Hg 0.6799 0.2500 0.1679
Hg 0.7282 0.2500 0.4680
Hg 0.8037 0.7500 0.3165
Hg 0.9610 0.2500 0.0689
CELL_PARAMETERS angstrom
9.0759 0.0000 0.0000
0.0000 5.0116 0.0000
-3.8320 0.0000 11.8942
! Energy of formation from the pure elements (eV/f.u.): 0.17
! Volume (Å³ per cell): 541.0
! Spin magnetization (μB per atom): 0.00
! Final energy (eV/f.u.): -11.587

(3)
! PBE Tl12AgHg3, relaxed; values from VASP
&SYSTEM
  ibrav = 0, nat = 16, ntyp = 3
/
ATOMIC_SPECIES
Tl 204.38 Tl.upf
Ag 107.87 Ag.upf
Hg 200.59 Hg.upf
ATOMIC_POSITIONS crystal
Tl 0.0000 0.0000 0.0000
Tl 0.0000 0.0000 0.2442
Tl 0.0000 0.0000 0.5000
Tl 0.0000 0.0000 0.7558
Tl 0.0000 0.5000 0.1167
Tl 0.0000 0.5000 0.3737
Tl 0.0000 0.5000 0.6263
Tl 0.0000 0.5000 0.8833
Tl 0.5000 0.0000 0.1167
Tl 0.5000 0.0000 0.3737
Tl 0.5000 0.0000 0.6263
Tl 0.5000 0.0000 0.8833
Ag 0.5000 0.5000 0.0000
Hg 0.5000 0.5000 0.2467
Hg 0.5000 0.5000 0.5000
Hg 0.5000 0.5000 0.7533
CELL_PARAMETERS angstrom
4.7070 0.0000 0.0000
0.0000 4.7070 0.0000
0.0000 0.0000 20.9904
! Energy of formation from the pure elements (eV/f.u.): 0.67
! Volume (Å³ per cell): 465.1
! Spin magnetization (μB per atom): 0.00
! Final energy (eV/f.u.): -31.483

(4)
! PBE TlAg2Hg2, relaxed; values from VASP
&SYSTEM
  ibrav = 0, nat = 10, ntyp = 3
/
ATOMIC_SPECIES
Tl 204.38 Tl.upf
Ag 107.87 Ag.upf
Hg 200.59 Hg.upf
ATOMIC_POSITIONS crystal
Tl 0.0000 0.0000 0.0000
Tl 0.5000 0.5000 0.0000
Ag 0.1690 0.3310 0.5000
Ag 0.3310 0.8310 0.5000
Ag 0.6690 0.1690 0.5000
Ag 0.8310 0.6690 0.5000
Hg 0.1294 0.6294 0.0000
Hg 0.3706 0.1294 0.0000
Hg 0.6294 0.8706 0.0000
Hg 0.8706 0.3706 0.0000
CELL_PARAMETERS angstrom
8.5800 0.0000 0.0000
0.0000 8.5800 0.0000
0.0000 0.0000 3.1474
! Energy of formation from the pure elements (eV/f.u.): 0.42
! Volume (Å³ per cell): 231.7
! Spin magnetization (μB per atom): 0.00
! Final energy (eV/f.u.): -8.251
! Polymorph energy (0 for the lowest one) (eV per formula unit): 0.08

(5)
! PBE TlAgHg, relaxed; values from VASP
&SYSTEM
  ibrav = 0, nat = 6, ntyp = 3
/
ATOMIC_SPECIES
Tl 204.38 Tl.upf
Ag 107.87 Ag.upf
Hg 200.59 Hg.upf
ATOMIC_POSITIONS crystal
Tl 0.1979 0.0000 0.0000
Tl 0.8021 0.0000 0.0000
Ag 0.3558 0.6224 0.6224
Ag 0.6442 0.6224 0.6224
Hg 0.0000 0.9868 0.9868
Hg 0.5000 0.9745 0.9745
CELL_PARAMETERS angstrom
15.7211 0.0000 0.0000
0.0000 1.7357 2.7485
0.0000 -1.7357 2.7485
! Energy of formation from the pure elements (eV/f.u.): 0.31
! Volume (Å³ per cell): 150.0
! Spin magnetization (μB per atom): 0.00
! Final energy (eV/f.u.): -5.208
! Polymorph energy (0 for the lowest one) (eV per formula unit): 0.12

(6)
! PBE Tl4AgHg2, relaxed; values from VASP
&SYSTEM
  ibrav = 0, nat = 7, ntyp = 3
/
ATOMIC_SPECIES
Tl 204.38 Tl.upf
Ag 107.87 Ag.upf
Hg 200.59 Hg.upf
ATOMIC_POSITIONS crystal
Tl 0.0000 0.5000 0.5000
Tl 0.1861 0.1861 0.0000
Tl 0.5000 0.0000 0.5000
Tl 0.8139 0.8139 0.0000
Ag 0.0000 0.0000 0.0000
Hg 0.3771 0.3771 0.0000
Hg 0.6229 0.6229 0.0000
CELL_PARAMETERS angstrom
-2.7450 2.7450 7.9027
2.7450 -2.7450 7.9027
2.7450 2.7450 -7.9027
! Energy of formation from the pure elements (eV/f.u.): 1.18
! Volume (Å³ per cell): 238.2
! Spin magnetization (μB per atom): 0.00
! Final energy (eV/f.u.): -11.738

(7)
! PBE TlAgHg, relaxed; values from VASP
&SYSTEM
  ibrav = 0, nat = 3, ntyp = 3
/
ATOMIC_SPECIES
Tl 204.38 Tl.upf
Ag 107.87 Ag.upf
Hg 200.59 Hg.upf
ATOMIC_POSITIONS crystal
Tl 0.0000 0.0000 0.0000
Ag 0.6667 0.3333 0.5015
Hg 0.3333 0.6667 0.4994
CELL_PARAMETERS angstrom
5.0484 0.0000 0.0000
-2.5242 4.3720 0.0000
0.0000 0.0000 3.4194
! Energy of formation from the pure elements (eV/f.u.): 0.30
! Volume (Å³ per cell): 75.5
! Spin magnetization (μB per atom): 0.00
! Final energy (eV/f.u.): -5.216
! Polymorph energy (0 for the lowest one) (eV per formula unit): 0.11

(8)
! PBE TlAg2Hg2, relaxed; values from VASP
&SYSTEM
  ibrav = 0, nat = 10, ntyp = 3
/
ATOMIC_SPECIES
Tl 204.38 Tl.upf
Ag 107.87 Ag.upf
Hg 200.59 Hg.upf
ATOMIC_POSITIONS crystal
Tl 0.0000 0.0000 0.0000
Tl 0.5000 0.5000 0.0000
Ag 0.1213 0.3787 0.0000
Ag 0.3787 0.8787 0.0000
Ag 0.6213 0.1213 0.0000
Ag 0.8787 0.6213 0.0000
Hg 0.1750 0.6750 0.5000
Hg 0.3250 0.1750 0.5000
Hg 0.6750 0.8250 0.5000
Hg 0.8250 0.3250 0.5000
CELL_PARAMETERS angstrom
8.4932 0.0000 0.0000
0.0000 8.4932 0.0000
0.0000 0.0000 3.1884
! Energy of formation from the pure elements (eV/f.u.): 0.35
! Volume (Å³ per cell): 230.0
! Spin magnetization (μB per atom): 0.00
! Final energy (eV/f.u.): -8.327
! Polymorph energy (0 for the lowest one) (eV per formula unit): 0.00

(9)
! PBE Tl3AgHg, relaxed; values from VASP
&SYSTEM
  ibrav = 0, nat = 5, ntyp = 3
/
ATOMIC_SPECIES
Tl 204.38 Tl.upf
Ag 107.87 Ag.upf
Hg 200.59 Hg.upf
ATOMIC_POSITIONS crystal
Tl 0.0000 0.0000 0.5000
Tl 0.0000 0.5000 0.0000
Tl 0.5000 0.0000 0.0000
Ag 0.0000 0.0000 0.0000
Hg 0.5000 0.5000 0.5000
CELL_PARAMETERS angstrom
5.5506 0.0000 0.0000
0.0000 5.5506 0.0000
0.0000 0.0000 5.5506
! Energy of formation from the pure elements (eV/f.u.): 0.98
! Volume (Å³ per cell): 171.0
! Spin magnetization (μB per atom): 0.00
! Final energy (eV/f.u.): -9.273
! Polymorph energy (0 for the lowest one) (eV per formula unit): 0.00

(10)
! PBE Tl5Ag3Hg12, relaxed; values from VASP
&SYSTEM
  ibrav = 0, nat = 80, ntyp = 3
/
ATOMIC_SPECIES
Tl 204.38 Tl.upf
Ag 107.87 Ag.upf
Hg 200.59 Hg.upf
ATOMIC_POSITIONS crystal
Tl 0.0000 0.0000 0.0000
Tl 0.0000 0.0000 0.5000
Tl 0.0000 0.5000 0.0000
Tl 0.0000 0.5000 0.5000
Tl 0.1250 0.7500 0.8750
Tl 0.1250 0.8750 0.2500
Tl 0.2500 0.1250 0.8750
Tl 0.2500 0.6250 0.3750
Tl 0.3750 0.2500 0.6250
Tl 0.3750 0.6250 0.7500
Tl 0.5000 0.0000 0.0000
Tl 0.5000 0.0000 0.5000
Tl 0.5000 0.5000 0.0000
Tl 0.5000 0.5000 0.5000
Tl 0.6250 0.3750 0.2500
Tl 0.6250 0.7500 0.3750
Tl 0.7500 0.3750 0.6250
Tl 0.7500 0.8750 0.1250
Tl 0.8750 0.1250 0.7500
Tl 0.8750 0.2500 0.1250
Ag 0.1250 0.2500 0.3750
Ag 0.1250 0.3750 0.7500
Ag 0.2500 0.3750 0.1250
Ag 0.2500 0.8750 0.6250
Ag 0.3750 0.1250 0.2500
Ag 0.3750 0.7500 0.1250
Ag 0.6250 0.2500 0.8750
Ag 0.6250 0.8750 0.7500
Ag 0.7500 0.1250 0.3750
Ag 0.7500 0.6250 0.8750
Ag 0.8750 0.6250 0.2500
Ag 0.8750 0.7500 0.6250
Hg 0.0660 0.6426 0.4028
Hg 0.0660 0.9234 0.6632
Hg 0.0766 0.2398 0.1426
Hg 0.0766 0.3368 0.9340
Hg 0.0972 0.7398 0.6632
Hg 0.0972 0.8574 0.4340
Hg 0.1426 0.0766 0.2398
Hg 0.1426 0.5660 0.9028
Hg 0.1632 0.2398 0.5972
Hg 0.1632 0.4234 0.5660
Hg 0.2398 0.1426 0.0766
Hg 0.2398 0.5972 0.1632
Hg 0.2602 0.3368 0.9028
Hg 0.2602 0.4234 0.3574
Hg 0.3368 0.9028 0.2602
Hg 0.3368 0.9340 0.0766
Hg 0.3574 0.2602 0.4234
Hg 0.3574 0.5972 0.9340
Hg 0.4028 0.0660 0.6426
Hg 0.4028 0.8368 0.7602
Hg 0.4234 0.3574 0.2602
Hg 0.4234 0.5660 0.1632
Hg 0.4340 0.0972 0.8574
Hg 0.4340 0.8368 0.5766
Hg 0.5660 0.1632 0.4234
Hg 0.5660 0.9028 0.1426
Hg 0.5766 0.4340 0.8368
Hg 0.5766 0.6426 0.7398
Hg 0.5972 0.1632 0.2398
Hg 0.5972 0.9340 0.3574
Hg 0.6426 0.4028 0.0660
Hg 0.6426 0.7398 0.5766
Hg 0.6632 0.0660 0.9234
Hg 0.6632 0.0972 0.7398
Hg 0.7398 0.5766 0.6426
Hg 0.7398 0.6632 0.0972
Hg 0.7602 0.4028 0.8368
Hg 0.7602 0.8574 0.9234
Hg 0.8368 0.5766 0.4340
Hg 0.8368 0.7602 0.4028
Hg 0.8574 0.4340 0.0972
Hg 0.8574 0.9234 0.7602
Hg 0.9028 0.1426 0.5660
Hg 0.9028 0.2602 0.3368
Hg 0.9234 0.6632 0.0660
Hg 0.9234 0.7602 0.8574
Hg 0.9340 0.0766 0.3368
Hg 0.9340 0.3574 0.5972
CELL_PARAMETERS angstrom
-8.6923 8.6923 8.6923
8.6923 -8.6923 8.6923
8.6923 8.6923 -8.6923
! Energy of formation from the pure elements (eV/f.u.): 3.19
! Volume (Å³ per cell): 2627.1
! Spin magnetization (μB per atom): 0.00
! Final energy (eV/f.u.): -20.816

(11)
! PBE TlAgHg, relaxed; values from VASP
&SYSTEM
  ibrav = 0, nat = 3, ntyp = 3
/
ATOMIC_SPECIES
Tl 204.38 Tl.upf
Ag 107.87 Ag.upf
Hg 200.59 Hg.upf
ATOMIC_POSITIONS crystal
Tl 0.0000 0.0000 0.0000
Ag 0.6659 0.6659 0.0000
Hg 0.3283 0.3283 0.0000
CELL_PARAMETERS angstrom
-1.9172 2.0574 4.6111
1.9172 -2.0574 4.6111
1.9172 2.0574 -4.6111
! Energy of formation from the pure elements (eV/f.u.): 0.33
! Volume (Å³ per cell): 72.8
! Spin magnetization (μB per atom): 0.00
! Final energy (eV/f.u.): -5.190
! Polymorph energy (0 for the lowest one) (eV per formula unit): 0.14

(12)
! PBE TlAgHg, relaxed; values from VASP
&SYSTEM
  ibrav = 0, nat = 3, ntyp = 3
/
ATOMIC_SPECIES
Tl 204.38 Tl.upf
Ag 107.87 Ag.upf
Hg 200.59 Hg.upf
ATOMIC_POSITIONS crystal
Tl 0.0000 0.0000 0.0000
Ag 0.2500 0.2500 0.2500
Hg 0.5000 0.5000 0.5000
CELL_PARAMETERS angstrom
0.0000 3.4379 3.4379
3.4379 0.0000 3.4379
3.4379 3.4379 0.0000
! Energy of formation from the pure elements (eV/f.u.): 0.31
! Volume (Å³ per cell): 81.3
! Spin magnetization (μB per atom): 0.00
! Final energy (eV/f.u.): -5.207
! Polymorph energy (0 for the lowest one) (eV per formula unit): 0.12